[1]
{"formula": "CoPtSeO", "functional": "GGA+U", "state": "relaxed", "lattice": [[6.337, 0.000, 0.000], [0.000, 12.611, 0.000], [0.000, 0.000, 6.564]], "species": ["Co", "Co", "Co", "Co", "Co", "Co", "Co", "Co", "Pt", "Pt", "Pt", "Pt", "Pt", "Pt", "Pt", "Pt", "Se", "Se", "Se", "Se", "Se", "Se", "Se", "Se", "O", "O", "O", "O", "O", "O", "O", "O"], "frac_coords": [[0.023, 0.233, 0.132], [0.023, 0.267, 0.632], [0.477, 0.733, 0.132], [0.477, 0.767, 0.632], [0.523, 0.233, 0.368], [0.523, 0.267, 0.868], [0.977, 0.733, 0.368], [0.977, 0.767, 0.868], [0.243, 0.579, 0.534], [0.243, 0.921, 0.034], [0.257, 0.079, 0.534], [0.257, 0.421, 0.034], [0.743, 0.579, 0.966], [0.743, 0.921, 0.466], [0.757, 0.079, 0.966], [0.757, 0.421, 0.466], [0.002, 0.018, 0.250], [0.002, 0.482, 0.750], [0.498, 0.518, 0.250], [0.498, 0.982, 0.750], [0.502, 0.018, 0.250], [0.502, 0.482, 0.750], [0.998, 0.518, 0.250], [0.998, 0.982, 0.750], [0.202, 0.248, 0.384], [0.202, 0.252, 0.884], [0.298, 0.748, 0.384], [0.298, 0.752, 0.884], [0.702, 0.248, 0.116], [0.702, 0.252, 0.616], [0.798, 0.748, 0.116], [0.798, 0.752, 0.616]], "de_polymorph_mev_per_atom": 116.7, "final_energy_ev_per_atom": -5.155, "m_tot_mub_per_cell": 23.6, "space_group": "Pbca (61)"}

[2]
{"formula": "CoPtSeO", "functional": "GGA+U", "state": "relaxed", "lattice": [[3.932, 0.000, 0.000], [0.000, 3.932, 0.000], [0.000, 0.000, 7.708]], "species": ["Co", "Co", "Pt", "Pt", "Se", "Se", "O", "O"], "frac_coords": [[0.250, 0.250, 0.230], [0.750, 0.750, 0.770], [0.250, 0.750, 0.000], [0.750, 0.250, 0.000], [0.250, 0.250, 0.698], [0.750, 0.750, 0.302], [0.250, 0.250, 0.474], [0.750, 0.750, 0.526]], "de_polymorph_mev_per_atom": 427.4, "final_energy_ev_per_atom": -4.844, "m_tot_mub_per_cell": 4.6, "space_group": "P4/nmm (129)"}

[3]
{"formula": "CoPtSeO", "functional": "GGA+U", "state": "relaxed", "lattice": [[4.925, 0.000, 0.000], [0.000, 7.139, 0.000], [0.000, 0.000, 7.772]], "species": ["Co", "Co", "Co", "Co", "Pt", "Pt", "Pt", "Pt", "Se", "Se", "Se", "Se", "O", "O", "O", "O"], "frac_coords": [[0.207, 0.134, 0.428], [0.293, 0.866, 0.928], [0.707, 0.366, 0.572], [0.793, 0.634, 0.072], [0.129, 0.774, 0.392], [0.371, 0.226, 0.892], [0.629, 0.726, 0.608], [0.871, 0.274, 0.108], [0.108, 0.664, 0.687], [0.392, 0.336, 0.187], [0.608, 0.836, 0.313], [0.892, 0.164, 0.813], [0.091, 0.794, 0.125], [0.409, 0.206, 0.625], [0.591, 0.706, 0.875], [0.909, 0.294, 0.375]], "de_polymorph_mev_per_atom": 103.7, "final_energy_ev_per_atom": -5.168, "m_tot_mub_per_cell": 12.0, "space_group": "P2_12_12_1 (19)"}